<i>
DFT (GGA-PBE) results for a relaxed structure of RbAsF2.

a b c (Å): 3.609 3.609 22.702
angles (deg): 90.00 90.00 120.00
Positions (direct):
Rb (0.000, 0.000, 0.000)
Rb (0.333, 0.667, 0.667)
Rb (0.667, 0.333, 0.333)
As (0.000, 0.000, 0.500)
As (0.333, 0.667, 0.167)
As (0.667, 0.333, 0.833)
F (0.000, 0.000, 0.410)
F (0.000, 0.000, 0.590)
F (0.333, 0.667, 0.076)
F (0.333, 0.667, 0.257)
F (0.667, 0.333, 0.743)
F (0.667, 0.333, 0.924)

Space-group type: R-3m (166)
V, Å³ per cell: 256.1



<ii>
DFT (GGA-PBE) results for a relaxed structure of RbAsF2.

a b c (Å): 3.298 3.298 22.890
angles (deg): 90.00 90.00 120.00
Positions (direct):
Rb (0.000, 0.000, 0.000)
Rb (0.333, 0.667, 0.667)
Rb (0.667, 0.333, 0.333)
As (0.000, 0.000, 0.500)
As (0.333, 0.667, 0.167)
As (0.667, 0.333, 0.833)
F (0.000, 0.000, 0.250)
F (0.000, 0.000, 0.750)
F (0.333, 0.667, 0.417)
F (0.333, 0.667, 0.917)
F (0.667, 0.333, 0.083)
F (0.667, 0.333, 0.583)

Space-group type: R-3m (166)
V, Å³ per cell: 215.6



Stability check: which of them is most stable? <i>.



<i>
DFT (GGA-PBE) results for a relaxed structure of RbAsF2.

a b c (Å): 6.745 6.745 6.745
angles (deg): 90.00 90.00 90.00
Positions (direct):
Rb (0.000, 0.000, 0.000)
Rb (0.000, 0.500, 0.500)
Rb (0.500, 0.000, 0.500)
Rb (0.500, 0.500, 0.000)
As (0.000, 0.000, 0.500)
As (0.000, 0.500, 0.000)
As (0.500, 0.000, 0.000)
As (0.500, 0.500, 0.500)
F (0.250, 0.250, 0.250)
F (0.250, 0.250, 0.750)
F (0.250, 0.750, 0.250)
F (0.250, 0.750, 0.750)
F (0.750, 0.250, 0.250)
F (0.750, 0.250, 0.750)
F (0.750, 0.750, 0.250)
F (0.750, 0.750, 0.750)

Space-group type: Fm-3m (225)
V, Å³ per cell: 306.8



<ii>
DFT (GGA-PBE) results for a relaxed structure of RbAsF2.

a b c (Å): 5.130 5.130 14.177
angles (deg): 90.00 90.00 90.00
Positions (direct):
Rb (0.000, 0.000, 0.000)
Rb (0.000, 0.500, 0.250)
Rb (0.500, 0.000, 0.750)
Rb (0.500, 0.500, 0.500)
As (0.000, 0.000, 0.500)
As (0.000, 0.500, 0.750)
As (0.500, 0.000, 0.250)
As (0.500, 0.500, 0.000)
F (0.128, 0.250, 0.625)
F (0.250, 0.628, 0.875)
F (0.250, 0.872, 0.375)
F (0.372, 0.250, 0.125)
F (0.628, 0.750, 0.125)
F (0.750, 0.128, 0.375)
F (0.750, 0.372, 0.875)
F (0.872, 0.750, 0.625)

Space-group type: I-42d (122)
V, Å³ per cell: 373.1



Stability check: which of them is most stable? <ii>.



<i>
DFT (GGA-PBE) results for a relaxed structure of RbAsF3.

a b c (Å): 4.957 4.957 4.957
angles (deg): 90.00 90.00 90.00
Positions (direct):
Rb (0.000, 0.000, 0.000)
As (0.500, 0.500, 0.500)
F (0.000, 0.000, 0.500)
F (0.000, 0.500, 0.000)
F (0.500, 0.000, 0.000)

Space-group type: Pm-3m (221)
V, Å³ per cell: 121.8



<ii>
DFT (GGA-PBE) results for a relaxed structure of RbAsF3.

a b c (Å): 4.487 6.997 7.525
angles (deg): 113.98 99.00 93.35
Positions (direct):
Rb (0.220, 0.384, 0.222)
Rb (0.780, 0.616, 0.778)
As (0.246, 0.042, 0.639)
As (0.754, 0.958, 0.361)
F (0.029, 0.043, 0.827)
F (0.234, 0.350, 0.759)
F (0.251, 0.739, 0.585)
F (0.749, 0.261, 0.415)
F (0.766, 0.650, 0.241)
F (0.971, 0.957, 0.173)

Space-group type: P-1 (2)
V, Å³ per cell: 211.3



Stability check: which of them is most stable? <ii>.



<i>
DFT (GGA-PBE) results for a relaxed structure of RbAs3F.

a b c (Å): 4.847 4.847 4.847
angles (deg): 90.00 90.00 90.00
Positions (direct):
Rb (0.000, 0.000, 0.000)
As (0.000, 0.500, 0.500)
As (0.500, 0.000, 0.500)
As (0.500, 0.500, 0.000)
F (0.500, 0.500, 0.500)

Space-group type: Pm-3m (221)
V, Å³ per cell: 113.9



<ii>
DFT (GGA-PBE) results for a relaxed structure of RbAs3F.

a b c (Å): 7.106 7.106 7.106
angles (deg): 90.00 90.00 90.00
Positions (direct):
Rb (0.000, 0.000, 0.000)
As (0.000, 0.000, 0.500)
As (0.000, 0.500, 0.000)
As (0.500, 0.000, 0.000)
F (0.500, 0.500, 0.500)

Space-group type: Pm-3m (221)
V, Å³ per cell: 358.8



Stability check: which of them is most stable? <i>.



<i>
DFT (GGA-PBE) results for a relaxed structure of RbAs2F.

a b c (Å): 7.210 7.210 7.210
angles (deg): 90.00 90.00 90.00
Positions (direct):
Rb (0.000, 0.000, 0.000)
Rb (0.000, 0.500, 0.500)
Rb (0.500, 0.000, 0.500)
Rb (0.500, 0.500, 0.000)
As (0.250, 0.250, 0.250)
As (0.250, 0.250, 0.750)
As (0.250, 0.750, 0.250)
As (0.250, 0.750, 0.750)
As (0.750, 0.250, 0.250)
As (0.750, 0.250, 0.750)
As (0.750, 0.750, 0.250)
As (0.750, 0.750, 0.750)
F (0.000, 0.000, 0.500)
F (0.000, 0.500, 0.000)
F (0.500, 0.000, 0.000)
F (0.500, 0.500, 0.500)

Space-group type: Fm-3m (225)
V, Å³ per cell: 374.8



<ii>
DFT (GGA-PBE) results for a relaxed structure of RbAs2F.

a b c (Å): 4.609 4.609 24.589
angles (deg): 90.00 90.00 90.00
Positions (direct):
Rb (0.000, 0.250, 0.375)
Rb (0.000, 0.750, 0.625)
Rb (0.500, 0.250, 0.125)
Rb (0.500, 0.750, 0.875)
As (0.000, 0.000, 0.000)
As (0.000, 0.500, 0.000)
As (0.250, 0.250, 0.750)
As (0.250, 0.750, 0.250)
As (0.500, 0.000, 0.500)
As (0.500, 0.500, 0.500)
As (0.750, 0.250, 0.750)
As (0.750, 0.750, 0.250)
F (0.000, 0.250, 0.875)
F (0.000, 0.750, 0.125)
F (0.500, 0.250, 0.625)
F (0.500, 0.750, 0.375)

Space-group type: I4_1/amd (141)
V, Å³ per cell: 522.3



Stability check: which of them is most stable? <ii>.



<i>
DFT (GGA-PBE) results for a relaxed structure of ReAsF2.

a b c (Å): 2.751 2.751 26.974
angles (deg): 90.00 90.00 120.00
Positions (direct):
Re (0.000, 0.000, 0.000)
Re (0.333, 0.667, 0.667)
Re (0.667, 0.333, 0.333)
As (0.000, 0.000, 0.500)
As (0.333, 0.667, 0.167)
As (0.667, 0.333, 0.833)
F (0.000, 0.000, 0.430)
F (0.000, 0.000, 0.570)
F (0.333, 0.667, 0.097)
F (0.333, 0.667, 0.237)
F (0.667, 0.333, 0.763)
F (0.667, 0.333, 0.903)

Space-group type: R-3m (166)
V, Å³ per cell: 176.8



<ii>
DFT (GGA-PBE) results for a relaxed structure of ReAsF2.

a b c (Å): 7.681 7.681 4.742
angles (deg): 90.00 90.00 90.00
Positions (direct):
Re (0.000, 0.000, 0.000)
Re (0.000, 0.500, 0.250)
Re (0.500, 0.000, 0.750)
Re (0.500, 0.500, 0.500)
As (0.000, 0.000, 0.500)
As (0.000, 0.500, 0.750)
As (0.500, 0.000, 0.250)
As (0.500, 0.500, 0.000)
F (0.100, 0.750, 0.125)
F (0.250, 0.100, 0.875)
F (0.250, 0.400, 0.375)
F (0.400, 0.750, 0.625)
F (0.600, 0.250, 0.625)
F (0.750, 0.600, 0.375)
F (0.750, 0.900, 0.875)
F (0.900, 0.250, 0.125)

Space-group type: I-42d (122)
V, Å³ per cell: 279.8



Stability check: which of them is most stable? <ii>.



<i>
DFT (GGA-PBE) results for a relaxed structure of ReAsF2.

a b c (Å): 2.762 2.762 29.110
angles (deg): 90.00 90.00 120.00
Positions (direct):
Re (0.000, 0.000, 0.000)
Re (0.333, 0.667, 0.667)
Re (0.667, 0.333, 0.333)
As (0.000, 0.000, 0.500)
As (0.333, 0.667, 0.167)
As (0.667, 0.333, 0.833)
F (0.000, 0.000, 0.065)
F (0.000, 0.000, 0.935)
F (0.333, 0.667, 0.601)
F (0.333, 0.667, 0.732)
F (0.667, 0.333, 0.268)
F (0.667, 0.333, 0.399)

Space-group type: R-3m (166)
V, Å³ per cell: 192.3



<ii>
DFT (GGA-PBE) results for a relaxed structure of ReAsF2.

a b c (Å): 6.004 6.004 6.004
angles (deg): 90.00 90.00 90.00
Positions (direct):
Re (0.000, 0.000, 0.000)
Re (0.000, 0.500, 0.500)
Re (0.500, 0.000, 0.500)
Re (0.500, 0.500, 0.000)
As (0.000, 0.000, 0.500)
As (0.000, 0.500, 0.000)
As (0.500, 0.000, 0.000)
As (0.500, 0.500, 0.500)
F (0.250, 0.250, 0.250)
F (0.250, 0.250, 0.750)
F (0.250, 0.750, 0.250)
F (0.250, 0.750, 0.750)
F (0.750, 0.250, 0.250)
F (0.750, 0.250, 0.750)
F (0.750, 0.750, 0.250)
F (0.750, 0.750, 0.750)

Space-group type: Fm-3m (225)
V, Å³ per cell: 216.4



Stability check: which of them is most stable? <i>.



<i>
DFT (GGA-PBE) results for a relaxed structure of ReAs2SeF.

a b c (Å): 4.829 4.829 4.778
angles (deg): 90.00 90.00 90.00
Positions (direct):
Re (0.000, 0.000, 0.000)
As (0.000, 0.500, 0.000)
As (0.500, 0.000, 0.000)
Se (0.000, 0.000, 0.500)
F (0.500, 0.500, 0.500)

Space-group type: P4/mmm (123)
V, Å³ per cell: 111.4



<ii>
DFT (GGA-PBE) results for a relaxed structure of ReAs2SeF.

a b c (Å): 4.245 4.245 4.905
angles (deg): 90.00 90.00 90.00
Positions (direct):
Re (0.000, 0.000, 0.000)
As (0.000, 0.500, 0.500)
As (0.500, 0.000, 0.500)
Se (0.500, 0.500, 0.000)
F (0.500, 0.500, 0.500)

Space-group type: P4/mmm (123)
V, Å³ per cell: 88.4



Stability check: which of them is most stable? <i>.



<i>
DFT (GGA-PBE) results for a relaxed structure of ReAsSe2F.

a b c (Å): 4.797 4.797 4.880
angles (deg): 90.00 90.00 90.00
Positions (direct):
Re (0.000, 0.000, 0.000)
As (0.000, 0.000, 0.500)
Se (0.000, 0.500, 0.000)
Se (0.500, 0.000, 0.000)
F (0.500, 0.500, 0.500)

Space-group type: P4/mmm (123)
V, Å³ per cell: 112.3



<ii>
DFT (GGA-PBE) results for a relaxed structure of ReAsSe2F.

a b c (Å): 4.714 4.714 4.031
angles (deg): 90.00 90.00 90.00
Positions (direct):
Re (0.000, 0.000, 0.000)
As (0.500, 0.500, 0.000)
Se (0.000, 0.500, 0.500)
Se (0.500, 0.000, 0.500)
F (0.500, 0.500, 0.500)

Space-group type: P4/mmm (123)
V, Å³ per cell: 89.6



Stability check: which of them is most stable? <i>.



<i>
DFT (GGA-PBE) results for a relaxed structure of As2RuF.

a b c (Å): 5.500 5.500 11.106
angles (deg): 90.00 90.00 90.00
Positions (direct):
As (0.231, 0.250, 0.125)
As (0.250, 0.731, 0.375)
As (0.250, 0.769, 0.875)
As (0.269, 0.250, 0.625)
As (0.731, 0.750, 0.625)
As (0.750, 0.231, 0.875)
As (0.750, 0.269, 0.375)
As (0.769, 0.750, 0.125)
Ru (0.000, 0.000, 0.000)
Ru (0.000, 0.500, 0.250)
Ru (0.500, 0.000, 0.750)
Ru (0.500, 0.500, 0.500)
F (0.000, 0.000, 0.500)
F (0.000, 0.500, 0.750)
F (0.500, 0.000, 0.250)
F (0.500, 0.500, 0.000)

Space-group type: I-42d (122)
V, Å³ per cell: 336.0



<ii>
DFT (GGA-PBE) results for a relaxed structure of As2RuF.

a b c (Å): 6.090 6.090 6.090
angles (deg): 90.00 90.00 90.00
Positions (direct):
As (0.250, 0.250, 0.250)
As (0.250, 0.250, 0.750)
As (0.250, 0.750, 0.250)
As (0.250, 0.750, 0.750)
As (0.750, 0.250, 0.250)
As (0.750, 0.250, 0.750)
As (0.750, 0.750, 0.250)
As (0.750, 0.750, 0.750)
Ru (0.000, 0.000, 0.000)
Ru (0.000, 0.500, 0.500)
Ru (0.500, 0.000, 0.500)
Ru (0.500, 0.500, 0.000)
F (0.000, 0.000, 0.500)
F (0.000, 0.500, 0.000)
F (0.500, 0.000, 0.000)
F (0.500, 0.500, 0.500)

Space-group type: Fm-3m (225)
V, Å³ per cell: 225.9



Stability check: which of them is most stable? <ii>.



<i>
DFT (GGA-PBE) results for a relaxed structure of AsRuSe2F.

a b c (Å): 4.839 4.839 4.774
angles (deg): 90.00 90.00 90.00
Positions (direct):
As (0.000, 0.000, 0.000)
Ru (0.000, 0.000, 0.500)
Se (0.000, 0.500, 0.500)
Se (0.500, 0.000, 0.500)
F (0.500, 0.500, 0.000)

Space-group type: P4/mmm (123)
V, Å³ per cell: 111.8



<ii>
DFT (GGA-PBE) results for a relaxed structure of AsRuSe2F.

a b c (Å): 4.664 4.664 4.131
angles (deg): 90.00 90.00 90.00
Positions (direct):
As (0.000, 0.000, 0.000)
Ru (0.500, 0.500, 0.000)
Se (0.000, 0.500, 0.500)
Se (0.500, 0.000, 0.500)
F (0.000, 0.000, 0.500)

Space-group type: P4/mmm (123)
V, Å³ per cell: 89.9



Stability check: which of them is most stable? <i>.



<i>
DFT (GGA-PBE) results for a relaxed structure of AsSF3.

a b c (Å): 6.718 6.824 6.827
angles (deg): 114.27 93.49 119.37
Positions (direct):
As (0.000, 0.000, 0.000)
As (0.237, 0.533, 0.680)
S (0.507, 0.105, 0.329)
S (0.730, 0.429, 0.350)
F (0.057, 0.188, 0.507)
F (0.058, 0.539, 0.860)
F (0.178, 0.994, 0.819)
F (0.180, 0.345, 0.173)
F (0.449, 0.544, 0.859)
F (0.787, 0.988, 0.821)

Space-group type: P1 (1)
V, Å³ per cell: 234.7



<ii>
DFT (GGA-PBE) results for a relaxed structure of AsSF3.

a b c (Å): 4.237 4.237 4.237
angles (deg): 90.00 90.00 90.00
Positions (direct):
As (0.000, 0.000, 0.000)
S (0.500, 0.500, 0.500)
F (0.000, 0.000, 0.500)
F (0.000, 0.500, 0.000)
F (0.500, 0.000, 0.000)

Space-group type: Pm-3m (221)
V, Å³ per cell: 76.1



<iii>
DFT (GGA-PBE) results for a relaxed structure of AsSF3.

a b c (Å): 4.291 4.291 4.291
angles (deg): 90.00 90.00 90.00
Positions (direct):
As (0.000, 0.000, 0.000)
S (0.500, 0.500, 0.500)
F (0.000, 0.500, 0.500)
F (0.500, 0.000, 0.500)
F (0.500, 0.500, 0.000)

Space-group type: Pm-3m (221)
V, Å³ per cell: 79.0



Stability check: which of them is most stable? <i>.